! PBE CdAgPd2, relaxed; values from VASP
&SYSTEM
  ibrav = 0, nat = 4, ntyp = 3
/
ATOMIC_SPECIES
Ag 107.87 Ag.upf
Cd 112.41 Cd.upf
Pd 106.42 Pd.upf
CELL_PARAMETERS angstrom
-0.7163 -1.8532 4.1363
0.0824 2.6486 3.7463
-3.8887 0.8865 2.2691
ATOMIC_POSITIONS crystal
Ag 0.5000 0.5000 0.5000
Cd 0.2500 0.2500 0.2500
Pd 0.7500 0.7500 0.7500
Pd 0.0000 0.0000 0.0000
! ΔH_f (0 K) (eV per atom): -0.20
! DFT total energy (eV for the cell shown): -14.9